DyHo2Sn | PBE | relaxed

Results
excess energy over the best structure of this formula in the dataset: 1.84 eV/f.u.
space group: R-3m
calculated total energy: -4.39 eV/atom
E_form: 0.047 eV per atom

Unit cell a=12.040 b=12.040 c=12.040 alpha=16.68 beta=16.68 gamma=16.68
Fractional positions:
Dy: 0.000 0.000 0.000
Ho: 0.413 0.413 0.413
Ho: 0.587 0.587 0.587
Sn: 0.500 0.500 0.500

---

LiCaGa2Pd | PBE | relaxed

Results
excess energy over the best structure of this formula in the dataset: 0.78 eV/f.u.
space group: P4/mmm
calculated total energy: -3.39 eV/atom
E_form: -0.360 eV per atom

Unit cell a=4.814 b=4.814 c=4.778 alpha=90.00 beta=90.00 gamma=90.00
Fractional positions:
Li: 0.000 0.000 0.000
Ca: 0.500 0.500 0.000
Ga: 0.000 0.500 0.500
Ga: 0.500 0.000 0.500
Pd: 0.000 0.000 0.500

---

Nd3DyY5 | PBE | relaxed

Results
space group: I4/mcm
calculated total energy: -5.44 eV/atom
E_form: 0.248 eV per atom

Unit cell a=9.962 b=9.962 c=9.962 alpha=127.72 beta=127.72 gamma=77.09
Fractional positions:
Nd: 0.117 0.617 0.733
Nd: 0.250 0.250 0.000
Nd: 0.383 0.117 0.500
Nd: 0.617 0.883 0.500
Nd: 0.750 0.750 0.000
Nd: 0.883 0.383 0.267
Dy: 0.250 0.750 0.500
Dy: 0.750 0.250 0.500
Y: 0.000 0.000 0.000
Y: 0.072 0.153 0.500
Y: 0.153 0.653 0.081
Y: 0.347 0.428 0.500
Y: 0.428 0.928 0.081
Y: 0.500 0.500 0.000
Y: 0.572 0.072 0.919
Y: 0.653 0.572 0.500
Y: 0.847 0.347 0.919
Y: 0.928 0.847 0.500

---

Ca5AcMg6 | PBE | relaxed

Results
space group: C2/m
calculated total energy: -2.05 eV/atom
E_form: -0.080 eV per atom

Unit cell a=9.803 b=9.803 c=5.699 alpha=106.60 beta=106.60 gamma=47.31
Fractional positions:
Ca: 0.000 0.000 0.000
Ca: 0.167 0.167 0.666
Ca: 0.336 0.336 0.338
Ca: 0.664 0.664 0.662
Ca: 0.833 0.833 0.334
Ac: 0.500 0.500 0.000
Mg: 0.075 0.585 0.833
Mg: 0.239 0.761 0.500
Mg: 0.415 0.925 0.167
Mg: 0.585 0.075 0.833
Mg: 0.761 0.239 0.500
Mg: 0.925 0.415 0.167

---

RbBaMg2Cd | PBE | relaxed

Results
excess energy over the best structure of this formula in the dataset: 1.52 eV/f.u.
space group: P4/mmm
calculated total energy: -0.54 eV/atom
E_form: 0.863 eV per atom

Unit cell a=6.323 b=6.323 c=7.248 alpha=90.00 beta=90.00 gamma=90.00
Fractional positions:
Rb: 0.000 0.000 0.000
Ba: 0.000 0.000 0.500
Mg: 0.000 0.500 0.000
Mg: 0.500 0.000 0.000
Cd: 0.500 0.500 0.500

---

KLiBe2 | PBE | relaxed

Results
excess energy over the best structure of this formula in the dataset: 1.47 eV/f.u.
space group: Pm
calculated total energy: -2.07 eV/atom
E_form: 0.542 eV per atom

Unit cell a=2.653 b=3.486 c=8.367 alpha=90.00 beta=91.10 gamma=90.00
Fractional positions:
K: 0.000 0.000 0.000
Li: 0.505 0.500 0.392
Be: 0.002 0.000 0.617
Be: 0.503 0.500 0.680

---

TaIn2Br | PBE | relaxed

Results
excess energy over the best structure of this formula in the dataset: 0.06 eV/f.u.
space group: Cmm2
formation energy without anion corrections: 13.06 kJ/mol of atoms
calculated total energy: -4.62 eV/atom

Unit cell a=3.194 b=3.194 c=11.017 alpha=90.00 beta=90.00 gamma=116.41
Fractional positions:
Ta: 0.000 0.000 0.000
In: 0.000 0.000 0.530
In: 0.500 0.500 0.779
Br: 0.500 0.500 0.184

---

Mg2InCu | PBE | relaxed

Results
space group: R-3m
calculated total energy: -2.50 eV/atom
E_form: 0.007 eV per atom

Unit cell a=9.350 b=9.350 c=9.350 alpha=19.67 beta=19.67 gamma=19.67
Fractional positions:
Mg: 0.240 0.240 0.240
Mg: 0.760 0.760 0.760
In: 0.000 0.000 0.000
Cu: 0.500 0.500 0.500